Entry i
First-principles (GGA-PBE) data for crystalline MgFe2PdC at its relaxed geometry, as listed in Alexandria.

Cell: 4.8433 4.8433 3.8051 Å, 90.00 90.00 90.00°
With the nearest neighbours (Å) after each atom.
Space group P4/mmm (No. 123)
Symmetry-distinct sites (fractional):
Mg  0.0000  0.0000  0.0000 [1 per cell]  8 Fe 3.08, 4 C 3.42
Fe  0.0000  0.5000  0.5000 [2 per cell]  2 Pd 2.42
Pd  0.5000  0.5000  0.5000 [1 per cell]  2 C 1.90
C  0.5000  0.5000  0.0000 [1 per cell]  2 Pd 1.90



Entry ii
First-principles (GGA-PBE) data for crystalline MgFe2PdC at its relaxed geometry, as listed in Alexandria.

Cell: 3.7458 3.7458 4.4113 Å, 90.00 90.00 90.00°
With the nearest neighbours (Å) after each atom.
Space group P4/mmm (No. 123)
Symmetry-distinct sites (fractional):
Mg  0.0000  0.0000  0.0000 [1 per cell]  2 C 2.21
Fe  0.0000  0.5000  0.5000 [2 per cell]  2 C 1.87
Pd  0.5000  0.5000  0.0000 [1 per cell]  4 Mg 2.65, 8 Fe 2.89
C  0.0000  0.0000  0.5000 [1 per cell]  4 Fe 1.87



We find entry ii to be the most stable, with the next structure 1.280 eV/atom higher.



Entry i
First-principles (GGA-PBE) data for crystalline Y2MnFeC at its relaxed geometry, as listed in Alexandria.

Cell: 4.9592 4.9592 3.7355 Å, 90.00 90.00 90.00°
With the nearest neighbours (Å) after each atom.
Space group P4/mmm (No. 123)
Symmetry-distinct sites (fractional):
Y  0.0000  0.5000  0.0000 [2 per cell]  2 C 2.48
Mn  0.0000  0.0000  0.5000 [1 per cell]  2 C 1.87
Fe  0.5000  0.5000  0.5000 [1 per cell]  8 Y 3.10
C  0.0000  0.0000  0.0000 [1 per cell]  2 Mn 1.87



Entry ii
First-principles (GGA-PBE) data for crystalline Y2MnFeC at its relaxed geometry, as listed in Alexandria.

Cell: 4.9930 4.9930 3.6665 Å, 90.00 90.00 90.00°
With the nearest neighbours (Å) after each atom.
Space group P4/mmm (No. 123)
Symmetry-distinct sites (fractional):
Y  0.0000  0.5000  0.0000 [2 per cell]  2 C 2.50
Mn  0.0000  0.0000  0.5000 [1 per cell]  8 Y 3.10
Fe  0.5000  0.5000  0.5000 [1 per cell]  2 C 1.83
C  0.5000  0.5000  0.0000 [1 per cell]  2 Fe 1.83



We find entry ii to be the most stable, with the next structure 0.065 eV/atom higher.



Entry i
First-principles (GGA-PBE) data for crystalline FeMo3C at its relaxed geometry, as listed in Alexandria.

Cell: 4.0867 4.0867 4.0867 Å, 90.00 90.00 90.00°
With the nearest neighbours (Å) after each atom.
Space group Pm-3m (No. 221)
Symmetry-distinct sites (fractional):
Fe  0.0000  0.0000  0.0000 [1 per cell]  12 Mo 2.89
Mo  0.0000  0.5000  0.5000 [3 per cell]  2 C 2.04
C  0.5000  0.5000  0.5000 [1 per cell]  6 Mo 2.04



Entry ii
First-principles (GGA-PBE) data for crystalline FeMo3C at its relaxed geometry, as listed in Alexandria.

Cell: 4.4117 4.4117 4.4117 Å, 90.00 90.00 90.00°
With the nearest neighbours (Å) after each atom.
Space group Pm-3m (No. 221)
Symmetry-distinct sites (fractional):
Fe  0.0000  0.0000  0.0000 [1 per cell]  6 Mo 2.21
Mo  0.0000  0.0000  0.5000 [3 per cell]  2 Fe 2.21
C  0.5000  0.5000  0.5000 [1 per cell]  12 Mo 3.12



We find entry i to be the most stable, with the next structure 2.036 eV/atom higher.



Entry i
First-principles (GGA-PBE) data for crystalline Fe2SnMoC at its relaxed geometry, as listed in Alexandria.

Cell: 4.9619 4.9619 4.2234 Å, 90.00 90.00 90.00°
With the nearest neighbours (Å) after each atom.
Space group P4/mmm (No. 123)
Symmetry-distinct sites (fractional):
Fe  0.0000  0.5000  0.0000 [2 per cell]  2 Sn 2.48
Sn  0.0000  0.0000  0.0000 [1 per cell]  2 C 2.11
Mo  0.5000  0.5000  0.5000 [1 per cell]  8 Fe 3.26, 4 C 3.51
C  0.0000  0.0000  0.5000 [1 per cell]  2 Sn 2.11



Entry ii
First-principles (GGA-PBE) data for crystalline Fe2SnMoC at its relaxed geometry, as listed in Alexandria.

Cell: 3.9594 3.9594 4.1708 Å, 90.00 90.00 90.00°
With the nearest neighbours (Å) after each atom.
Space group P4/mmm (No. 123)
Symmetry-distinct sites (fractional):
Fe  0.0000  0.5000  0.0000 [2 per cell]  2 C 1.98
Sn  0.0000  0.0000  0.5000 [1 per cell]  4 Mo 2.80, 8 Fe 2.88
Mo  0.5000  0.5000  0.5000 [1 per cell]  2 C 2.09
C  0.5000  0.5000  0.0000 [1 per cell]  4 Fe 1.98, 2 Mo 2.09



We find entry ii to be the most stable, with the next structure 2.378 eV/atom higher.



Entry i
First-principles (GGA-PBE) data for crystalline FeC6N6 at its relaxed geometry, as listed in Alexandria.

Cell: 6.4207 6.4207 6.6422 Å, 90.00 90.00 120.00°
With the nearest neighbours (Å) after each atom.
Space group P-31m (No. 162)
Symmetry-distinct sites (fractional):
Fe  0.0000  0.0000  0.0000 [1 per cell]  6 C 1.91
C  0.0000  0.2404  0.1689 [6 per cell]  1 N 1.18
N  0.0000  0.3963  0.2639 [6 per cell]  1 C 1.18



Entry ii
First-principles (GGA-PBE) data for crystalline FeC6N6 at its relaxed geometry, as listed in Alexandria.

Cell: 5.7111 10.0247 6.3098 Å, 90.00 91.62 90.00°
With the nearest neighbours (Å) after each atom.
Space group P2_1/c (No. 14)
Symmetry-distinct sites (fractional):
Fe  0.0000  0.0000  0.0000 [2 per cell]  6 C 1.85-1.94
C  0.1715  0.1667  0.0032 [4 per cell]  1 N 1.17
C  0.1755  0.5592  0.2768 [4 per cell]  1 N 1.19
C  0.1751  0.5588  0.7330 [4 per cell]  1 N 1.19
N  0.2480  0.5848  0.9063 [4 per cell]  1 C 1.19, 1 N 1.27
N  0.2493  0.5852  0.1074 [4 per cell]  1 C 1.19, 1 N 1.27
N  0.2710  0.2310  0.5044 [4 per cell]  1 C 1.17



We find entry ii to be the most stable, with the next structure 0.294 eV/atom higher.



Entry i
First-principles (GGA-PBE) data for crystalline FeCSe2N at its relaxed geometry, as listed in Alexandria.

Cell: 5.8300 5.8300 2.4779 Å, 90.00 90.00 90.00°
With the nearest neighbours (Å) after each atom.
Space group P4/mmm (No. 123)
Symmetry-distinct sites (fractional):
Fe  0.0000  0.0000  0.0000 [1 per cell]  2 Fe 2.48
C  0.5000  0.5000  0.5000 [1 per cell]  2 N 1.24
Se  0.0000  0.5000  0.5000 [2 per cell]  2 Se 2.48
N  0.5000  0.5000  0.0000 [1 per cell]  2 C 1.24



Entry ii
First-principles (GGA-PBE) data for crystalline FeCSe2N at its relaxed geometry, as listed in Alexandria.

Cell: 4.7583 4.7583 3.3586 Å, 90.00 90.00 90.00°
With the nearest neighbours (Å) after each atom.
Space group P4/mmm (No. 123)
Symmetry-distinct sites (fractional):
Fe  0.0000  0.0000  0.0000 [1 per cell]  2 N 1.68
C  0.5000  0.5000  0.5000 [1 per cell]  8 Se 2.91
Se  0.0000  0.5000  0.0000 [2 per cell]  2 Fe 2.38
N  0.0000  0.0000  0.5000 [1 per cell]  2 Fe 1.68



We find entry i to be the most stable, with the next structure 0.627 eV/atom higher.